This record from Alexandria describes a crystal of Hf2TlInPd relaxed with PBEsol. The functional is meta-GGA SCAN.

Computed properties:
The value obtained for the total energy is -51.4170 eV/atom. The energy of formation from the pure elements comes out at 1.356 eV/atom. The calculation puts the theoretical density at 9.40 g/cm³.

a = 5.072 Å, b = 5.219 Å, c = 5.219 Å
α = 90.00°, β = 90.00°, γ = 90.00°
Atoms (fractional coordinates):
Tl1 0.000 0.000 0.000
Hf1 0.000 0.000 0.500
Hf2 0.000 0.500 0.000
Pd1 0.500 0.500 0.500
In1 0.500 0.000 0.000

***

This record from Alexandria describes a crystal of HfZr2InPd relaxed with PBEsol. The functional is meta-GGA SCAN.

Computed properties:
The value obtained for the total energy is -37.9193 eV/atom. The energy of formation from the pure elements comes out at 0.127 eV/atom. The calculation puts the theoretical density at 7.86 g/cm³.

a = 4.941 Å, b = 4.989 Å, c = 4.989 Å
α = 90.00°, β = 90.00°, γ = 90.00°
Atoms (fractional coordinates):
Hf1 0.500 0.000 0.000
Zr1 0.000 0.000 0.500
Zr2 0.000 0.500 0.000
Pd1 0.000 0.000 0.000
In1 0.500 0.500 0.500

***

This record from Alexandria describes a crystal of Rb2Hf2In relaxed with PBEsol. The functional is meta-GGA SCAN.

Computed properties:
The value obtained for the total energy is -39.3239 eV/atom. The energy of formation from the pure elements comes out at 0.718 eV/atom. The calculation puts the theoretical density at 5.63 g/cm³.

a = 3.863 Å, b = 3.863 Å, c = 12.997 Å
α = 98.55°, β = 98.55°, γ = 90.00°
Atoms (fractional coordinates):
Hf1 0.250 0.750 0.500
Hf2 0.750 0.250 0.500
Rb1 0.390 0.390 0.780
Rb2 0.610 0.610 0.220
In1 0.000 0.000 0.000

***

This record from Alexandria describes a crystal of RbHfIn2Re relaxed with PBEsol. The functional is meta-GGA SCAN.

Computed properties:
The value obtained for the total energy is -42.6268 eV/atom. The energy of formation from the pure elements comes out at 1.630 eV/atom. The calculation puts the theoretical density at 7.96 g/cm³.

a = 5.198 Å, b = 5.198 Å, c = 5.251 Å
α = 90.00°, β = 90.00°, γ = 90.00°
Atoms (fractional coordinates):
Re1 0.000 0.000 0.000
Hf1 0.500 0.500 0.500
Rb1 0.000 0.000 0.500
In1 0.000 0.500 0.000
In2 0.500 0.000 0.000

***

This record from Alexandria describes a crystal of RbHfInTc2 relaxed with PBEsol. The functional is meta-GGA SCAN.

Computed properties:
The value obtained for the total energy is -35.2029 eV/atom. The energy of formation from the pure elements comes out at 2.181 eV/atom. The calculation puts the theoretical density at 7.25 g/cm³.

a = 5.005 Å, b = 5.005 Å, c = 5.259 Å
α = 90.00°, β = 90.00°, γ = 90.00°
Atoms (fractional coordinates):
Hf1 0.500 0.500 0.500
Tc1 0.000 0.500 0.000
Tc2 0.500 0.000 0.000
Rb1 0.000 0.000 0.500
In1 0.000 0.000 0.000

***

This record from Alexandria describes a crystal of Sr2HfInRe relaxed with PBEsol. The functional is meta-GGA SCAN.

Computed properties:
The value obtained for the total energy is -40.9885 eV/atom. The energy of formation from the pure elements comes out at 1.353 eV/atom. The calculation puts the theoretical density at 7.06 g/cm³.

a = 5.253 Å, b = 5.415 Å, c = 5.415 Å
α = 90.00°, β = 90.00°, γ = 90.00°
Atoms (fractional coordinates):
Re1 0.000 0.000 0.000
Hf1 0.500 0.500 0.500
Sr1 0.000 0.000 0.500
Sr2 0.000 0.500 0.000
In1 0.500 0.000 0.000

***

This record from Alexandria describes a crystal of Hf3InRh relaxed with PBEsol. The functional is meta-GGA SCAN.

Computed properties:
The value obtained for the total energy is -51.0249 eV/atom. The energy of formation from the pure elements comes out at 0.011 eV/atom. The calculation puts the theoretical density at 10.58 g/cm³. For the polymorph energy (0 for the lowest one), the calculation gives 0.000 eV/f.u.

a = 4.907 Å, b = 4.907 Å, c = 4.907 Å
α = 90.00°, β = 90.00°, γ = 90.00°
Atoms (fractional coordinates):
Rh1 0.000 0.000 0.000
Hf1 0.000 0.500 0.000
Hf2 0.000 0.000 0.500
Hf3 0.500 0.000 0.000
In1 0.500 0.500 0.500

***

This record from Alexandria describes a crystal of Hf3InRu relaxed with PBEsol. The functional is meta-GGA SCAN.

Computed properties:
The value obtained for the total energy is -51.1241 eV/atom. The energy of formation from the pure elements comes out at 0.122 eV/atom. The calculation puts the theoretical density at 10.62 g/cm³.

a = 4.897 Å, b = 4.897 Å, c = 4.897 Å
α = 90.00°, β = 90.00°, γ = 90.00°
Atoms (fractional coordinates):
Ru1 0.000 0.000 0.000
Hf1 0.000 0.500 0.000
Hf2 0.000 0.000 0.500
Hf3 0.500 0.000 0.000
In1 0.500 0.500 0.500

***

This record from Alexandria describes a crystal of HfIn3Ru relaxed with PBEsol. The functional is meta-GGA SCAN.

Computed properties:
The value obtained for the total energy is -38.8990 eV/atom. The energy of formation from the pure elements comes out at 0.633 eV/atom. The calculation puts the theoretical density at 8.42 g/cm³.

a = 4.974 Å, b = 4.974 Å, c = 4.974 Å
α = 90.00°, β = 90.00°, γ = 90.00°
Atoms (fractional coordinates):
Ru1 0.000 0.000 0.000
Hf1 0.500 0.500 0.500
In1 0.000 0.500 0.000
In2 0.000 0.000 0.500
In3 0.500 0.000 0.000

***

This record from Alexandria describes a crystal of HfInS2 relaxed with PBEsol. The functional is meta-GGA SCAN.

Computed properties:
The value obtained for the total energy is -30.0926 eV/atom. The calculation puts the theoretical density at 6.42 g/cm³. The raw formation energy is -1.264 eV per atom.

a = 3.485 Å, b = 3.485 Å, c = 9.015 Å
α = 78.86°, β = 78.86°, γ = 60.00°
Atoms (fractional coordinates):
S1 0.891 0.891 0.328
S2 0.109 0.109 0.672
Hf1 0.500 0.500 0.500
In1 0.000 0.000 0.000

***

This record from Alexandria describes a crystal of Hf2InS relaxed with PBEsol. The functional is meta-GGA SCAN.

Computed properties:
The value obtained for the total energy is -42.3206 eV/atom. The calculation puts the theoretical density at 11.08 g/cm³. The raw formation energy is -0.230 eV per atom.

a = 4.744 Å, b = 4.744 Å, c = 4.744 Å
α = 60.00°, β = 60.00°, γ = 60.00°
Atoms (fractional coordinates):
S1 0.000 0.000 0.000
Hf1 0.250 0.250 0.250
Hf2 0.750 0.750 0.750
In1 0.500 0.500 0.500

***

This record from Alexandria describes a crystal of HfInSbTe2 relaxed with PBEsol. The functional is meta-GGA SCAN.

Computed properties:
The value obtained for the total energy is -41.6390 eV/atom. The calculation puts the theoretical density at 6.69 g/cm³. The raw formation energy is -0.075 eV per atom.

a = 5.497 Å, b = 5.497 Å, c = 5.507 Å
α = 90.00°, β = 90.00°, γ = 90.00°
Atoms (fractional coordinates):
Sb1 0.000 0.000 0.500
Te1 0.000 0.500 0.000
Te2 0.500 0.000 0.000
Hf1 0.000 0.000 0.000
In1 0.500 0.500 0.500

***

This record from Alexandria describes a crystal of HfScIn2 relaxed with PBEsol. The functional is meta-GGA SCAN.

Computed properties:
The value obtained for the total energy is -36.2142 eV/atom. The energy of formation from the pure elements comes out at -0.293 eV/atom. The calculation puts the theoretical density at 8.88 g/cm³.

a = 4.930 Å, b = 4.930 Å, c = 4.930 Å
α = 60.00°, β = 60.00°, γ = 60.00°
Atoms (fractional coordinates):
Sc1 0.000 0.000 0.000
Hf1 0.500 0.500 0.500
In1 0.250 0.250 0.250
In2 0.750 0.750 0.750

***

This record from Alexandria describes a crystal of HfIn3Se relaxed with PBEsol. The functional is meta-GGA SCAN.

Computed properties:
The value obtained for the total energy is -35.7190 eV/atom. The calculation puts the theoretical density at 7.16 g/cm³. The raw formation energy is 0.863 eV per atom.

a = 5.189 Å, b = 5.189 Å, c = 5.189 Å
α = 90.00°, β = 90.00°, γ = 90.00°
Atoms (fractional coordinates):
Hf1 0.500 0.500 0.500
Se1 0.000 0.000 0.000
In1 0.000 0.500 0.000
In2 0.000 0.000 0.500
In3 0.500 0.000 0.000

***

This record from Alexandria describes a crystal of HfInSi3 relaxed with PBEsol. The functional is meta-GGA SCAN.

Computed properties:
The value obtained for the total energy is -23.6315 eV/atom. The calculation puts the theoretical density at 5.37 g/cm³. The raw formation energy is 1.590 eV per atom.

a = 4.887 Å, b = 4.887 Å, c = 4.887 Å
α = 90.00°, β = 90.00°, γ = 90.00°
Atoms (fractional coordinates):
Si1 0.000 0.500 0.000
Si2 0.000 0.000 0.500
Si3 0.500 0.000 0.000
Hf1 0.500 0.500 0.500
In1 0.000 0.000 0.000

***

This record from Alexandria describes a crystal of HfIn3Si relaxed with PBEsol. The functional is meta-GGA SCAN.

Computed properties:
The value obtained for the total energy is -33.5284 eV/atom. The calculation puts the theoretical density at 5.77 g/cm³. The raw formation energy is 1.041 eV per atom.

a = 5.412 Å, b = 5.412 Å, c = 5.412 Å
α = 90.00°, β = 90.00°, γ = 90.00°
Atoms (fractional coordinates):
Si1 0.500 0.500 0.500
Hf1 0.000 0.000 0.000
In1 0.000 0.500 0.000
In2 0.000 0.000 0.500
In3 0.500 0.000 0.000

***

This record from Alexandria describes a crystal of SrHfIn3 relaxed with PBEsol. The functional is meta-GGA SCAN.

Computed properties:
The value obtained for the total energy is -35.5930 eV/atom. The energy of formation from the pure elements comes out at 1.429 eV/atom. The calculation puts the theoretical density at 5.90 g/cm³.

a = 5.559 Å, b = 5.559 Å, c = 5.559 Å
α = 90.00°, β = 90.00°, γ = 90.00°
Atoms (fractional coordinates):
Sr1 0.000 0.000 0.000
Hf1 0.500 0.500 0.500
In1 0.000 0.500 0.000
In2 0.000 0.000 0.500
In3 0.500 0.000 0.000

***

This record from Alexandria describes a crystal of HfTaTiIn2 relaxed with PBEsol. The functional is meta-GGA SCAN.

Computed properties:
The value obtained for the total energy is -41.4348 eV/atom. The energy of formation from the pure elements comes out at 0.977 eV/atom. The calculation puts the theoretical density at 8.68 g/cm³.

a = 4.524 Å, b = 5.191 Å, c = 5.191 Å
α = 90.00°, β = 90.00°, γ = 90.00°
Atoms (fractional coordinates):
Ti1 0.500 0.000 0.000
In1 0.000 0.000 0.500
In2 0.000 0.500 0.000
Hf1 0.500 0.500 0.500
Ta1 0.000 0.000 0.000

***

This record from Alexandria describes a crystal of HfInTc3 relaxed with PBEsol. The functional is meta-GGA SCAN.

Computed properties:
The value obtained for the total energy is -38.6393 eV/atom. The energy of formation from the pure elements comes out at 1.609 eV/atom. The calculation puts the theoretical density at 9.40 g/cm³.

a = 4.699 Å, b = 4.699 Å, c = 4.699 Å
α = 90.00°, β = 90.00°, γ = 90.00°
Atoms (fractional coordinates):
Hf1 0.000 0.000 0.000
Tc1 0.000 0.500 0.000
Tc2 0.000 0.000 0.500
Tc3 0.500 0.000 0.000
In1 0.500 0.500 0.500

***

This record from Alexandria describes a crystal of YHfInTc2 relaxed with PBEsol. The functional is meta-GGA SCAN.

Computed properties:
The value obtained for the total energy is -36.9077 eV/atom. The energy of formation from the pure elements comes out at 1.897 eV/atom. The calculation puts the theoretical density at 8.62 g/cm³.

a = 4.693 Å, b = 4.693 Å, c = 5.058 Å
α = 90.00°, β = 90.00°, γ = 90.00°
Atoms (fractional coordinates):
Y1 0.000 0.000 0.000
Hf1 0.000 0.000 0.500
Tc1 0.000 0.500 0.000
Tc2 0.500 0.000 0.000
In1 0.500 0.500 0.500